Crystalline Co3TcN at its relaxed geometry, computed with PBE.

- offset from the most stable computed form (meV/atom) = 2273.3
- E_form (uncorrected) (kJ per mole of atoms) = 242.9
- SG = Pm-3m

POSCAR file:
```
Co3TcN
1.0
4.417 0.000 0.000
0.000 4.417 0.000
0.000 0.000 4.417
Co Tc N
3 1 1
Direct
0.000 0.000 0.500
0.000 0.500 0.000
0.500 0.000 0.000
0.000 0.000 0.000
0.500 0.500 0.500
```